# Sr3In5H12 (PBE, optimized geometry)
data_Sr3In5H12
_chemical_formula_sum 'Sr12 In20 H48'
_cell_length_a 11.8189
_cell_length_b 11.8189
_cell_length_c 11.8189
_cell_angle_alpha 109.47
_cell_angle_beta 109.47
_cell_angle_gamma 109.47
_space_group_name_H-M_alt 'P 1'
_space_group_IT_number 1
loop_
_space_group_symop_operation_xyz
'x,y,z'
loop_
_atom_site_label
_atom_site_type_symbol
_atom_site_fract_x
_atom_site_fract_y
_atom_site_fract_z
_atom_site_occupancy
Sr1 Sr 0.6250 0.3750 0.7500 1
Sr2 Sr 0.1250 0.2500 0.8750 1
Sr3 Sr 0.6250 0.2500 0.3750 1
Sr4 Sr 0.2500 0.6250 0.8750 1
Sr5 Sr 0.3750 0.7500 0.6250 1
Sr6 Sr 0.2500 0.1250 0.3750 1
Sr7 Sr 0.7500 0.8750 0.6250 1
Sr8 Sr 0.3750 0.6250 0.2500 1
Sr9 Sr 0.7500 0.3750 0.1250 1
Sr10 Sr 0.1250 0.8750 0.7500 1
Sr11 Sr 0.8750 0.1250 0.2500 1
Sr12 Sr 0.8750 0.7500 0.1250 1
H1 H 0.2124 0.1055 0.9599 1
H2 H 0.0401 0.3945 0.7876 1
H3 H 0.6055 0.9599 0.7124 1
H4 H 0.6055 0.6456 0.3931 1
H5 H 0.4599 0.7474 0.8544 1
H6 H 0.8544 0.6069 0.8945 1
H7 H 0.8544 0.2474 0.4599 1
H8 H 0.9599 0.3544 0.2474 1
H9 H 0.6456 0.6055 0.8931 1
H10 H 0.3945 0.3544 0.6069 1
H11 H 0.4599 0.7124 0.1055 1
H12 H 0.5401 0.2526 0.1456 1
H13 H 0.1069 0.2124 0.2526 1
H14 H 0.8945 0.7876 0.5401 1
H15 H 0.7526 0.1456 0.0401 1
H16 H 0.6069 0.7526 0.7124 1
H17 H 0.0401 0.6456 0.7526 1
H18 H 0.7876 0.8945 0.0401 1
H19 H 0.7124 0.4599 0.6055 1
H20 H 0.9599 0.6055 0.2124 1
H21 H 0.7124 0.2526 0.6069 1
H22 H 0.2526 0.7124 0.1069 1
H23 H 0.5401 0.2876 0.8945 1
H24 H 0.8945 0.1069 0.8544 1
H25 H 0.7474 0.2876 0.8931 1
H26 H 0.6456 0.0401 0.2526 1
H27 H 0.3544 0.9599 0.7474 1
H28 H 0.7526 0.6069 0.2124 1
H29 H 0.3945 0.0401 0.2876 1
H30 H 0.1055 0.2124 0.4599 1
H31 H 0.3544 0.3945 0.1069 1
H32 H 0.8931 0.7876 0.7474 1
H33 H 0.2876 0.5401 0.3945 1
H34 H 0.1069 0.8945 0.3544 1
H35 H 0.7876 0.8931 0.2474 1
H36 H 0.3931 0.2474 0.2876 1
H37 H 0.2474 0.8544 0.9599 1
H38 H 0.2124 0.1069 0.7526 1
H39 H 0.2474 0.3931 0.7876 1
H40 H 0.2876 0.7474 0.3931 1
H41 H 0.3931 0.1456 0.6055 1
H42 H 0.1456 0.7526 0.5401 1
H43 H 0.7474 0.4599 0.3544 1
H44 H 0.1055 0.8931 0.1456 1
H45 H 0.2526 0.5401 0.6456 1
H46 H 0.6069 0.8544 0.3945 1
H47 H 0.8931 0.1055 0.6456 1
H48 H 0.1456 0.3931 0.1055 1
In1 In 0.6250 0.7500 0.8750 1
In2 In 0.3750 0.2500 0.1250 1
In3 In 0.5000 0.0000 0.0000 1
In4 In 0.6250 0.8750 0.2500 1
In5 In 0.2500 0.3750 0.6250 1
In6 In 0.7500 0.6250 0.3750 1
In7 In 0.1250 0.7500 0.3750 1
In8 In 0.2500 0.8750 0.1250 1
In9 In 0.0000 0.0000 0.0000 1
In10 In 0.0000 0.5000 0.0000 1
In11 In 0.1250 0.3750 0.2500 1
In12 In 0.0000 0.5000 0.5000 1
In13 In 0.5000 0.5000 0.0000 1
In14 In 0.5000 0.5000 0.5000 1
In15 In 0.8750 0.6250 0.7500 1
In16 In 0.5000 0.0000 0.5000 1
In17 In 0.0000 0.0000 0.5000 1
In18 In 0.3750 0.1250 0.7500 1
In19 In 0.8750 0.2500 0.6250 1
In20 In 0.7500 0.1250 0.8750 1
# SG: Ia-3d, No. 230
# Energy in eV per atom: -2.889
# ρ in g cm⁻³: 4.437